Density functional theory data (SCAN) for a crystal of NiWS2N relaxed with PBEsol.

The structure in POSCAR format:
```
NiWS2N
1.0
-2.416 -2.272 -0.312
1.147 -1.767 3.981
-2.881 2.780 2.063
Ni S W N
1 2 1 1
Direct
0.000 0.000 0.000 Ni
0.000 0.000 0.500 S
0.000 0.500 0.000 S
0.500 0.500 0.500 W
0.500 0.000 0.000 N
```

crystal system = tetragonal

---

Density functional theory data (SCAN) for a crystal of ZnNiS2N relaxed with PBEsol.

The structure in POSCAR format:
```
ZnNiS2N
1.0
-3.242 0.311 0.784
-0.889 -4.078 -2.055
0.764 -2.196 4.029
Ni Zn S N
1 1 2 1
Direct
0.000 0.000 0.000 Ni
0.500 0.500 0.500 Zn
0.000 0.000 0.500 S
0.000 0.500 0.000 S
0.500 0.000 0.000 N
```

crystal system = tetragonal

---

Density functional theory data (SCAN) for a crystal of Sc2Ni2N relaxed with PBEsol.

The structure in POSCAR format:
```
Sc2Ni2N
1.0
4.560 -0.008 -0.012
-1.893 4.149 0.012
-1.893 -1.711 3.780
Sc Ni N
2 2 1
Direct
0.500 0.750 0.250 Sc
0.500 0.250 0.750 Sc
0.000 0.696 0.696 Ni
0.000 0.304 0.304 Ni
0.000 0.000 0.000 N
```

crystal system = tetragonal

---

Density functional theory data (SCAN) for a crystal of ScNiSeN2 relaxed with PBEsol.

The structure in POSCAR format:
```
ScNiSeN2
1.0
-3.049 -0.454 2.471
0.789 -3.862 0.265
3.243 0.949 4.176
Sc Ni Se N
1 1 1 2
Direct
0.000 0.000 0.000 Sc
0.500 0.500 0.500 Ni
0.000 0.000 0.500 Se
0.000 0.500 0.000 N
0.500 0.000 0.000 N
```

crystal system = tetragonal

---

Density functional theory data (SCAN) for a crystal of NiW2SeN relaxed with PBEsol.

The structure in POSCAR format:
```
NiW2SeN
1.0
3.958 0.000 0.000
0.000 3.958 0.000
0.000 0.000 4.530
Ni Se W N
1 1 2 1
Direct
0.500 0.500 0.500 Ni
0.000 0.000 0.500 Se
0.000 0.500 0.000 W
0.500 0.000 0.000 W
0.000 0.000 0.000 N
```

crystal system = tetragonal

---

Density functional theory data (SCAN) for a crystal of ZnNiSeN2 relaxed with PBEsol.

The structure in POSCAR format:
```
ZnNiSeN2
1.0
-1.057 0.489 3.483
-3.484 0.350 -1.106
-0.712 -5.384 0.539
Ni Zn Se N
1 1 1 2
Direct
0.500 0.500 0.500 Ni
0.000 0.000 0.000 Zn
0.000 0.000 0.500 Se
0.000 0.500 0.000 N
0.500 0.000 0.000 N
```

crystal system = tetragonal

---

Density functional theory data (SCAN) for a crystal of SiNiTeN2 relaxed with PBEsol.

The structure in POSCAR format:
```
SiNiTeN2
1.0
3.449 0.000 0.000
0.000 3.449 0.000
0.000 0.000 6.548
Ni Si Te N
1 1 1 2
Direct
0.500 0.500 0.500 Ni
0.000 0.000 0.000 Si
0.000 0.000 0.500 Te
0.000 0.500 0.000 N
0.500 0.000 0.000 N
```

crystal system = tetragonal

---

Density functional theory data (SCAN) for a crystal of Sr2Ni2N relaxed with PBEsol.

The structure in POSCAR format:
```
Sr2Ni2N
1.0
-3.079 0.527 -0.861
0.664 -1.024 -3.001
-0.730 -7.466 4.134
Sr N Ni
2 1 2
Direct
0.414 0.414 0.827 Sr
0.586 0.586 0.173 Sr
0.000 0.000 0.000 N
0.250 0.750 0.500 Ni
0.750 0.250 0.500 Ni
```

crystal system = tetragonal

---

Density (g cm⁻³)
7.88; 4.63; 5.15; 4.17; 12.15; 5.21; 5.17; 5.88
Total energy (eV per atom)
-21.8500; -11.0944; -14.0240; -13.0853; -36.0771; -12.2573; -15.7986; -17.2713